(1)
Density functional theory data (PBE-GGA) for a geometry-optimized Rb2TcN2 structure.

Structure (POSCAR):
```
Rb2TcN2
1.0
-2.9872 2.9872 4.9871
2.9872 -2.9872 4.9871
2.9872 2.9872 -4.9871
Rb Tc N
2 1 2
Direct
0.2500 0.7500 0.5000
0.7500 0.2500 0.5000
0.0000 0.0000 0.0000
0.4428 0.4428 0.0000
0.5572 0.5572 0.0000
```

## Properties
Calculated volume: 178.0 Å³/cell
Density of states at the Fermi level: 1.045 states/eV/atom
Magnetization: 3.1 μB/f.u.
SG: I4/mmm
E: -4.789 eV per atom

(2)
Density functional theory data (PBE-GGA) for a geometry-optimized RbTc2N structure.

Structure (POSCAR):
```
RbTc2N
1.0
-3.1666 3.1666 4.4716
3.1666 -3.1666 4.4716
3.1666 3.1666 -4.4716
Rb Tc N
2 4 2
Direct
0.3750 0.6250 0.7500
0.6250 0.3750 0.2500
0.0000 0.0000 0.0000
0.0000 0.0000 0.5000
0.0000 0.5000 0.0000
0.5000 0.0000 0.5000
0.1250 0.8750 0.2500
0.8750 0.1250 0.7500
```

## Properties
Calculated volume: 179.4 Å³/cell
Density of states at the Fermi level: 0.628 states/eV/atom
Magnetization: 2.6 μB/f.u.
SG: I4_1/amd
E: -6.707 eV per atom

no.,uncorrected formation energy (eV per atom)
1,1.001
2,0.799